Na5LiV6O18 | GGA-PBEsol | optimized geometry

For the density of states at the Fermi level, the calculation gives 0.000 states/eV/cell. As for the space group: P1 (1). The crystal system is triclinic. Its formation energy without anion corrections is -2.294 eV per atom.

a b c (Å): 7.9101 10.2188 10.9987
angles (deg): 90.77 102.86 110.73
With the nearest neighbours (Å) after each atom.
Fractional positions:
O 0.8646 0.8389 0.5151  2 V 1.80
O 0.7852 0.9637 0.0049  1 V 1.65
V 0.2509 0.1565 0.6455  4 O 1.65-1.80
O 0.6481 0.6108 0.6255  1 V 1.65
O 0.8791 0.3710 0.6525  1 V 1.66
O 0.7975 0.4885 0.1437  2 V 1.79-1.80
V 0.8267 0.5992 0.0184  4 O 1.64-1.80
O 0.1986 0.0447 0.9815  1 V 1.66
O 0.1096 0.1573 0.7351  1 V 1.65
O 0.5411 0.1639 0.9408  1 V 1.64
Na 0.1573 0.8431 0.4370  4 O 2.34-2.49
V 0.5135 0.0608 0.3123  4 O 1.64-1.80
Na 0.0540 0.9427 0.1384  6 O 2.28-2.38
V 0.9258 0.4944 0.3014  4 O 1.65-1.80
O 0.4463 0.2962 0.6860  1 V 1.65
O 0.2132 0.5028 0.6049  1 V 1.64
V 0.4863 0.9317 0.6899  4 O 1.64-1.80
O 0.0357 0.7261 0.0518  1 V 1.66
V 0.1858 0.4061 0.9830  4 O 1.65-1.80
O 0.2027 0.5052 0.8498  2 V 1.79-1.80
O 0.7983 0.5050 0.8884  1 V 1.64
O 0.4584 0.8216 0.8162  2 V 1.80
O 0.2160 0.5115 0.1073  1 V 1.65
O 0.7917 0.5106 0.3909  1 V 1.65
Li 0.2836 0.7196 0.1852  6 O 2.12-2.28
O 0.1127 0.1610 0.2304  1 V 1.64
O 0.3005 0.9981 0.6574  2 V 1.80
V 0.1459 0.2636 0.3562  4 O 1.64-1.80
O 0.9619 0.3311 0.3213  2 V 1.79-1.80
Li 0.9481 0.0483 0.8526  4 O 2.07-2.20
O 0.8779 0.8262 0.2698  1 V 1.64
Na 0.3889 0.6145 0.4711  6 O 2.29-2.37
O 0.9848 0.2720 0.9585  1 V 1.65
O 0.6962 0.0575 0.7247  1 V 1.66
Na 0.5129 0.4927 0.2260  5 O 2.33-2.52
O 0.5352 0.1535 0.4421  1 V 1.64
O 0.0361 0.6732 0.6817  2 V 1.79-1.80
V 0.4025 0.1763 0.0276  4 O 1.64-1.80
Na 0.7227 0.2771 0.8100  6 O 2.29-2.38
O 0.5229 0.1684 0.1843  2 V 1.79-1.80
O 0.7103 0.0065 0.3422  2 V 1.80
Na 0.8179 0.1754 0.1070  4 O 2.33-2.49
V 0.7409 0.8408 0.3570  4 O 1.64-1.80
O 0.4545 0.8288 0.0650  1 V 1.65
O 0.3519 0.3925 0.3790  1 V 1.66
O 0.8873 0.8466 0.7750  1 V 1.65
O 0.6406 0.6656 0.9856  2 V 1.79-1.80
V 0.8524 0.7413 0.6495  4 O 1.65-1.80
O 0.1254 0.6306 0.3338  1 V 1.65
V 0.0755 0.5100 0.6940  4 O 1.64-1.80
V 0.5901 0.8235 0.9723  4 O 1.65-1.80
O 0.1272 0.1623 0.4890  2 V 1.79-1.80
O 0.5367 0.7094 0.3135  1 V 1.66
O 0.3159 0.9227 0.2810  1 V 1.65
Na 0.1815 0.8267 0.8946  6 O 2.34-2.59
Na 0.4890 0.5161 0.7762  6 O 2.32-2.54
O 0.4582 0.8376 0.5600  1 V 1.64
O 0.3748 0.3437 0.0181  2 V 1.79-1.80
Na 0.6111 0.3863 0.5248  6 O 2.33-2.43
Na 0.8393 0.1480 0.5633  6 O 2.34-2.61

***

Na3LiWO5 | GGA-PBEsol | optimized geometry

For the density of states at the Fermi level, the calculation gives 0.000 states/eV/cell. As for the space group: P-1 (2). The crystal system is triclinic. Its formation energy without anion corrections is -2.045 eV per atom.

a b c (Å): 5.6326 5.9971 7.5317
angles (deg): 76.42 71.53 73.60
With the nearest neighbours (Å) after each atom.
Fractional positions:
W 0.1006 0.1604 0.7945  5 O 1.83-2.03
Na 0.7011 0.0505 0.5955  5 O 2.24-2.45
O 0.1503 0.0516 0.0741  2 W 2.03-2.14, 1 Li 2.09
Na 0.5187 0.7466 0.9899  6 O 2.35-2.37
O 0.6503 0.1209 0.2737  1 W 1.92, 1 Li 2.09
O 0.8460 0.4214 0.8938  1 W 1.92, 1 Li 1.99
O 0.0122 0.2299 0.5700  1 W 1.83
Li 0.8889 0.3585 0.1548  5 O 1.99-2.15
O 0.9878 0.7701 0.4300  1 W 1.83
Na 0.6770 0.5541 0.6147  6 O 2.30-2.56
Li 0.1111 0.6415 0.8452  5 O 1.99-2.15
W 0.8994 0.8396 0.2055  5 O 1.83-2.03
Na 0.2989 0.9495 0.4045  5 O 2.24-2.45
O 0.3497 0.8791 0.7263  1 W 1.92, 1 Li 2.09
O 0.8497 0.9484 0.9259  2 W 2.03-2.14, 1 Li 2.09
O 0.6459 0.6658 0.2719  1 W 1.88
Na 0.3230 0.4459 0.3853  6 O 2.30-2.56
O 0.1540 0.5786 0.1062  1 W 1.92, 1 Li 1.99
Na 0.4813 0.2534 0.0101  6 O 2.35-2.37
O 0.3541 0.3342 0.7281  1 W 1.88

***

Na2LiOs | GGA-PBEsol | optimized geometry

For the density of states at the Fermi level, the calculation gives 7.368 states/eV/cell. For the raw total energy, the calculation gives -23.79 eV per cell. As for the space group: I-42d (122). The crystal system is tetragonal.

a b c (Å): 5.3044 5.9831 5.9831
angles (deg): 78.67 63.69 63.69
With the nearest neighbours (Å) after each atom.
Fractional positions:
Os 0.7500 0.5000 0.5000  2 Li 2.65, 4 Na 2.90
Os 0.0000 0.0000 0.0000  2 Li 2.65, 4 Na 2.90
Na 0.8750 0.9746 0.5254  2 Li 2.63, 2 Na 2.68, 2 Os 2.90
Na 0.1504 0.4746 0.9746  2 Li 2.63, 2 Na 2.68, 2 Os 2.90
Li 0.2500 0.5000 0.5000  4 Na 2.63, 2 Os 2.65
Na 0.5996 0.5254 0.0254  2 Li 2.63, 2 Na 2.68, 2 Os 2.90
Li 0.5000 0.0000 0.0000  4 Na 2.63, 2 Os 2.65
Na 0.3750 0.0254 0.4746  2 Li 2.63, 2 Na 2.68, 2 Os 2.90

***

NaLiOs3 | GGA-PBEsol | optimized geometry

For the density of states at the Fermi level, the calculation gives 6.352 states/eV/cell. For the raw total energy, the calculation gives -24.05 eV per cell. As for the space group: Pm-3m (221). The crystal system is cubic.

a b c (Å): 4.4782 4.4782 4.4782
angles (deg): 90.00 90.00 90.00
With the nearest neighbours (Å) after each atom.
Fractional positions:
Os 0.0000 0.5000 0.0000  2 Na 2.24
Os 0.0000 0.0000 0.5000  2 Na 2.24
Li 0.5000 0.5000 0.5000  12 Os 3.17
Na 0.0000 0.0000 0.0000  6 Os 2.24
Os 0.5000 0.0000 0.0000  2 Na 2.24

***

Ρ
In order: 2946 4938 5293 11105
Unit: kg/m3